Zn2AgRu2 after structural relaxation, computed with PBE-GGA.

## Properties
Total DFT energy (no corrections) in eV per atom: -4.51
SG: P4/mbm

Cell lengths 7.440, 7.440, 2.817 Å; angles 90.00, 90.00, 90.00 degrees
Fractional positions:
Ru 0.120 0.620 0.500
Ru 0.620 0.880 0.500
Ru 0.880 0.380 0.500
Ru 0.380 0.120 0.500
Zn 0.326 0.826 0.000
Zn 0.826 0.674 0.000
Zn 0.674 0.174 0.000
Zn 0.174 0.326 0.000
Ag 0.000 0.000 0.000
Ag 0.500 0.500 0.000